1.
Compound: Nb4CoSe8
Source: Alexandria
Functional: GGA-PBEsol
Structure: relaxed

Properties
* magnetic moment: 0.001 μB per cell
* total energy: -7.15 eV/atom
* symmetry: P6_3/mmc
* raw formation energy: -0.854 eV/atom
* N(E_F): 0.413 states/eV/atom

a b c (Å): 6.8518 6.8518 12.0627
angles (deg): 90.00 90.00 120.00
Closest atoms and distances in Å follow each position.
Fractional positions:
Nb  0.0000  0.0000  0.2500  6 Se 2.58
Nb  0.0000  0.0000  0.7500  6 Se 2.58
Nb  0.9810  0.4905  0.2500  6 Se 2.56-2.62
Nb  0.5095  0.0190  0.2500  6 Se 2.56-2.62
Nb  0.5095  0.4905  0.2500  6 Se 2.56-2.62
Nb  0.0190  0.5095  0.7500  6 Se 2.56-2.62
Nb  0.4905  0.9810  0.7500  6 Se 2.56-2.62
Nb  0.4905  0.5095  0.7500  6 Se 2.56-2.62
Co  0.0000  0.0000  0.0000  6 Se 2.41
Co  0.0000  0.0000  0.5000  6 Se 2.41
Se  0.3333  0.6667  0.6044  3 Nb 2.56
Se  0.6667  0.3333  0.3956  3 Nb 2.56
Se  0.6667  0.3333  0.1044  3 Nb 2.56
Se  0.3333  0.6667  0.8956  3 Nb 2.56
Se  0.1671  0.8329  0.1128  1 Co 2.41, 3 Nb 2.58-2.62
Se  0.6657  0.8329  0.1128  1 Co 2.41, 3 Nb 2.58-2.62
Se  0.1671  0.3343  0.1128  1 Co 2.41, 3 Nb 2.58-2.62
Se  0.8329  0.1671  0.8872  1 Co 2.41, 3 Nb 2.58-2.62
Se  0.3343  0.1671  0.8872  1 Co 2.41, 3 Nb 2.58-2.62
Se  0.8329  0.6657  0.8872  1 Co 2.41, 3 Nb 2.58-2.62
Se  0.8329  0.1671  0.6128  1 Co 2.41, 3 Nb 2.58-2.62
Se  0.3343  0.1671  0.6128  1 Co 2.41, 3 Nb 2.58-2.62
Se  0.8329  0.6657  0.6128  1 Co 2.41, 3 Nb 2.58-2.62
Se  0.1671  0.8329  0.3872  1 Co 2.41, 3 Nb 2.58-2.62
Se  0.6657  0.8329  0.3872  1 Co 2.41, 3 Nb 2.58-2.62
Se  0.1671  0.3343  0.3872  1 Co 2.41, 3 Nb 2.58-2.62


2.
Compound: Mn2CrCl
Source: Alexandria
Functional: GGA-PBEsol
Structure: relaxed

Properties
* relative energy among the computed polymorphs: 0.597 eV per atom
* magnetic moment: 4.483 μB per cell
* total energy: -7.01 eV/atom
* symmetry: P4/mmm
* raw formation energy: 0.929 eV/atom
* N(E_F): 1.406 states/eV/atom

a b c (Å): 3.2973 3.2973 4.4425
angles (deg): 90.00 90.00 90.00
Closest atoms and distances in Å follow each position.
Fractional positions:
Cr  0.0000  0.0000  0.5000  4 Cl 2.33
Mn  0.0000  0.5000  0.0000  4 Mn 2.33
Mn  0.5000  0.0000  0.0000  4 Mn 2.33
Cl  0.5000  0.5000  0.5000  4 Cr 2.33


3.
Compound: ScAu4
Source: Alexandria
Functional: GGA-PBEsol
Structure: relaxed

Properties
* magnetic moment: 0.000 μB per cell
* total energy: -5.04 eV/atom
* symmetry: I4/m
* N(E_F): 0.265 states/eV/atom
* ΔE_f: -2.9 eV/f.u.

a b c (Å): 4.0275 5.0366 5.0366
angles (deg): 80.80 66.43 66.43
Closest atoms and distances in Å follow each position.
Fractional positions:
Sc  0.0000  0.0000  0.0000  12 Au 2.88-2.91
Au  0.7977  0.6003  0.8044  9 Au 2.86-2.96, 3 Sc 2.88-2.91
Au  0.2023  0.3997  0.1956  9 Au 2.86-2.96, 3 Sc 2.88-2.91
Au  0.6020  0.1956  0.6003  9 Au 2.86-2.96, 3 Sc 2.88-2.91
Au  0.3980  0.8044  0.3997  9 Au 2.86-2.96, 3 Sc 2.88-2.91


4.
Compound: Zr2Be2Ga
Source: Alexandria
Functional: GGA-PBEsol
Structure: relaxed

Properties
* magnetic moment: 0.000 μB per cell
* total energy: -6.29 eV/atom
* symmetry: P4/mbm
* N(E_F): 0.442 states/eV/atom
* ΔE_f: -1.9 eV/f.u.

a b c (Å): 3.8733 6.2361 6.2361
angles (deg): 90.00 90.00 90.00
Closest atoms and distances in Å follow each position.
Fractional positions:
Be  0.0000  0.3766  0.8766  1 Be 2.18
Be  0.0000  0.8766  0.6234  1 Be 2.18
Be  0.0000  0.6234  0.1234  1 Be 2.18
Be  0.0000  0.1234  0.3766  1 Be 2.18
Ga  0.0000  0.0000  0.0000  4 Be 2.47
Ga  0.0000  0.5000  0.5000  4 Be 2.47
Zr  0.5000  0.1700  0.6700  6 Be 2.66-2.68
Zr  0.5000  0.6700  0.8300  6 Be 2.66-2.68
Zr  0.5000  0.8300  0.3300  6 Be 2.66-2.68
Zr  0.5000  0.3300  0.1700  6 Be 2.66-2.68


5.
Compound: Ca2SiP
Source: Alexandria
Functional: GGA-PBEsol
Structure: relaxed

Properties
* relative energy among the computed polymorphs: 0.000 eV per atom
* magnetic moment: 0.000 μB per cell
* total energy: -4.56 eV/atom
* symmetry: Imm2
* raw formation energy: -0.610 eV/atom
* N(E_F): 0.379 states/eV/atom

a b c (Å): 3.5669 4.5381 5.9903
angles (deg): 112.27 107.32 90.00
Closest atoms and distances in Å follow each position.
Fractional positions:
Ca  0.0080  0.0080  0.0160  4 P 2.93, 2 Si 3.17
Ca  0.2367  0.7368  0.4734  4 Si 2.95, 2 P 3.25, 2 Ca 3.30
P  0.4581  0.4579  0.9162  2 Si 2.46
Si  0.7971  0.2973  0.5943  2 P 2.46


6.
Compound: CdAu2F12
Source: Alexandria
Functional: GGA-PBEsol
Structure: relaxed

Properties
* magnetic moment: 0.000 μB per cell
* total energy: -3.31 eV/atom
* symmetry: C2/c
* raw formation energy: -1.170 eV/atom
* N(E_F): 0.000 states/eV/atom

a b c (Å): 7.2167 7.2167 9.5427
angles (deg): 104.29 111.67 100.68
Closest atoms and distances in Å follow each position.
Fractional positions:
Cd  0.0212  0.7712  0.2500  8 F 2.28-2.48
Cd  0.9788  0.2288  0.7500  8 F 2.28-2.48
Au  0.3935  0.2426  0.6499  6 F 1.89-1.95
Au  0.9073  0.2564  0.1499  6 F 1.89-1.95
Au  0.6065  0.7574  0.3501  6 F 1.89-1.95
Au  0.0927  0.7436  0.8501  6 F 1.89-1.95
F  0.9310  0.9085  0.7647  1 Au 1.93
F  0.0690  0.0915  0.2353  1 Au 1.93
F  0.2337  0.9651  0.5116  1 Au 1.95
F  0.4699  0.2861  0.4882  1 Au 1.89
F  0.7021  0.0183  0.9882  1 Au 1.89
F  0.1396  0.3120  0.5748  1 Au 1.92
F  0.7628  0.4352  0.0748  1 Au 1.92
F  0.3562  0.8337  0.2647  1 Au 1.93
F  0.8835  0.4948  0.6884  1 Au 1.95
F  0.9534  0.7220  0.9884  1 Au 1.95
F  0.7663  0.0349  0.4884  1 Au 1.95
F  0.0466  0.2780  0.0116  1 Au 1.95
F  0.7734  0.2419  0.2856  1 Au 1.89
F  0.8604  0.6880  0.4252  1 Au 1.92
F  0.1165  0.5052  0.3116  1 Au 1.95
F  0.2372  0.5648  0.9252  1 Au 1.92
F  0.6936  0.8049  0.1884  1 Au 1.95
F  0.4563  0.4878  0.2144  1 Au 1.89
F  0.3064  0.1951  0.8116  1 Au 1.95
F  0.2266  0.7581  0.7144  1 Au 1.89
F  0.5437  0.5122  0.7856  1 Au 1.89
F  0.2979  0.9817  0.0118  1 Au 1.89
F  0.6438  0.1663  0.7353  1 Au 1.93
F  0.5301  0.7139  0.5118  1 Au 1.89


7.
Compound: Mg2Ir3
Source: Alexandria
Functional: GGA-PBEsol
Structure: relaxed

Properties
* relative energy among the computed polymorphs: 0.000 eV per atom
* magnetic moment: 0.001 μB per cell
* total energy: -6.88 eV/atom
* symmetry: C2/m
* N(E_F): 0.453 states/eV/atom
* ΔE_f: -1.5 eV/f.u.

a b c (Å): 5.1699 8.4808 9.6277
angles (deg): 96.70 105.57 90.00
Closest atoms and distances in Å follow each position.
Fractional positions:
Mg  0.2810  0.0839  0.5620  4 Mg 2.80-3.10, 10 Ir 2.81-3.11
Mg  0.7190  0.9161  0.4380  4 Mg 2.80-3.10, 10 Ir 2.81-3.11
Mg  0.5548  0.3840  0.1096  10 Ir 2.92-3.03, 4 Mg 3.00-3.13
Mg  0.4452  0.6160  0.8904  10 Ir 2.92-3.03, 4 Mg 3.00-3.13
Mg  0.2910  0.4443  0.5820  12 Ir 2.91-3.06, 4 Mg 3.04-3.20
Mg  0.7090  0.5557  0.4180  12 Ir 2.91-3.06, 4 Mg 3.04-3.20
Mg  0.4227  0.0018  0.8453  6 Ir 2.75-2.81, 2 Mg 2.80-2.87
Mg  0.5773  0.9982  0.1547  6 Ir 2.75-2.81, 2 Mg 2.80-2.87
Mg  0.0213  0.1810  0.0426  8 Ir 2.76-3.02, 1 Mg 3.08
Mg  0.9787  0.8190  0.9574  8 Ir 2.76-3.02, 1 Mg 3.08
Ir  0.8680  0.0279  0.7359  5 Ir 2.56-2.68, 3 Mg 2.80-2.81
Ir  0.1320  0.9721  0.2641  5 Ir 2.56-2.68, 3 Mg 2.80-2.81
Ir  0.9182  0.2296  0.3371  5 Ir 2.50-2.59, 1 Mg 2.75
Ir  0.0818  0.7704  0.6629  5 Ir 2.50-2.59, 1 Mg 2.75
Ir  0.5811  0.7704  0.6629  5 Ir 2.50-2.59, 1 Mg 2.75
Ir  0.4189  0.2296  0.3371  5 Ir 2.50-2.59, 1 Mg 2.75
Ir  0.0000  0.5000  0.0000  6 Ir 2.57-2.65, 2 Mg 2.78
Ir  0.2153  0.7412  0.4306  6 Ir 2.50-2.68
Ir  0.7847  0.2588  0.5694  6 Ir 2.50-2.68
Ir  0.1357  0.4666  0.2713  6 Ir 2.53-2.66
Ir  0.8643  0.5334  0.7287  6 Ir 2.53-2.66
Ir  0.1748  0.2955  0.8189  5 Ir 2.43-2.68
Ir  0.8252  0.7045  0.1811  5 Ir 2.43-2.68
Ir  0.3559  0.7045  0.1811  5 Ir 2.43-2.68
Ir  0.6441  0.2955  0.8189  5 Ir 2.43-2.68


8.
Compound: HI3F
Source: Alexandria
Functional: GGA-PBEsol
Structure: relaxed

Properties
* magnetic moment: 1.018 μB per cell
* total energy: -1.57 eV/atom
* symmetry: Pm-3m
* N(E_F): 0.653 states/eV/atom

a b c (Å): 5.1479 5.1479 5.1479
angles (deg): 90.00 90.00 90.00
Closest atoms and distances in Å follow each position.
Fractional positions:
I  0.0000  0.5000  0.0000  2 F 2.57
I  0.0000  0.0000  0.5000  2 F 2.57
I  0.5000  0.0000  0.0000  2 F 2.57
H  0.5000  0.5000  0.5000  12 I 3.64
F  0.0000  0.0000  0.0000  6 I 2.57


Question: N(E_F) of number 7 (Mg2Ir3)?
Answer: 0.453 states/eV/atom